<1>
A geometry-optimized ErScOsPd structure, computed with PBE-GGA.

Values from the calculation:
Volume = 297.02 Å³/cell

Lattice parameters (Å, degrees): 6.672 6.672 6.672 90.00 90.00 90.00
Space group F-43m (No. 216)
Asymmetric unit:
Er: 0.000 0.000 0.000 (multiplicity 4)
Sc: 0.000 0.000 0.500 (multiplicity 4)
Os: 0.250 0.250 0.750 (multiplicity 4)
Pd: 0.250 0.250 0.250 (multiplicity 4)

<2>
A geometry-optimized ErScOsPd structure, computed with PBE-GGA.

Values from the calculation:
Volume = 74.64 Å³/cell

Lattice parameters (Å, degrees): 3.346 3.346 6.666 90.00 90.00 90.00
Space group P4mm (No. 99)
Asymmetric unit:
Er: 0.000 0.000 0.000 (multiplicity 1)
Sc: 0.000 0.000 0.522 (multiplicity 1)
Os: 0.500 0.500 0.745 (multiplicity 1)
Pd: 0.500 0.500 0.272 (multiplicity 1)

Relative energy of each structure, in eV/atom: <1> 0.043; <2> 0.000.

<1>
A geometry-optimized PmEr2Os structure, computed with PBE-GGA.

Values from the calculation:
Volume = 427.67 Å³/cell

Lattice parameters (Å, degrees): 7.450 9.014 6.369 90.00 90.00 90.00
Space group Pnma (No. 62)
Asymmetric unit:
Pm: 0.039 0.250 0.127 (multiplicity 4)
Er: 0.174 0.064 0.663 (multiplicity 8)
Os: 0.117 0.750 0.450 (multiplicity 4)

<2>
A geometry-optimized PmEr2Os structure, computed with PBE-GGA.

Values from the calculation:
Volume = 431.29 Å³/cell

Lattice parameters (Å, degrees): 3.960 12.109 8.995 90.00 90.00 90.00
Space group Cmcm (No. 63)
Asymmetric unit:
Pm: 0.000 0.073 0.250 (multiplicity 4)
Er: 0.000 0.352 0.067 (multiplicity 8)
Os: 0.000 0.256 0.750 (multiplicity 4)

<3>
A geometry-optimized PmEr2Os structure, computed with PBE-GGA.

Values from the calculation:
Volume = 106.15 Å³/cell

Lattice parameters (Å, degrees): 3.398 3.398 9.196 90.00 90.00 90.00
Space group P4/mmm (No. 123)
Asymmetric unit:
Pm: 0.000 0.000 0.000 (multiplicity 1)
Er: 0.500 0.500 0.322 (multiplicity 2)
Os: 0.000 0.000 0.500 (multiplicity 1)

Relative energy of each structure, in eV/atom: <1> 0.000; <2> 0.015; <3> 0.069.